# Fe3CO (GGA+U, relaxed)
# - Volume: 64.8 Å³ per cell
# - Energy above the most stable polymorph in this dataset: 0.0 meV/atom
data_Fe3CO
_cell_length_a 4.0167
_cell_length_b 4.0167
_cell_length_c 4.0167
_cell_angle_alpha 90.00
_cell_angle_beta 90.00
_cell_angle_gamma 90.00
_space_group_name_H-M_alt 'P m -3 m'
_space_group_IT_number 221
_space_group_name_Hall '-P 4 2 3'
loop_
_atom_site_label
_atom_site_type_symbol
_atom_site_fract_x
_atom_site_fract_y
_atom_site_fract_z
Fe1 Fe 0.0000 0.0000 0.5000
C1 C 0.0000 0.0000 0.0000
O1 O 0.5000 0.5000 0.5000